A relaxed structure of HfCu3Ag. Source: the Alexandria database, functional PBE.

Calculated values
SG: No. 221
Calculated total energy in Ry per atom: -0.298
V in Å³/cell: 97.3

abc: 4.5998 4.5998 4.5998
angles: 90.00 90.00 90.00
With the nearest neighbours (Å) after each atom.
Fractional positions:
1 Hf 0.5000 0.5000 0.5000  12 Cu 3.25
2 Cu 0.0000 0.5000 0.0000  2 Ag 2.30
3 Ag 0.0000 0.0000 0.0000  6 Cu 2.30
4 Cu 0.5000 0.0000 0.0000  2 Ag 2.30
5 Cu 0.0000 0.0000 0.5000  2 Ag 2.30

=====

A relaxed structure of Hf2CuAg. Source: the Alexandria database, functional PBE.

Calculated values
SG: No. 123
Calculated total energy in Ry per atom: -0.494
V in Å³/cell: 73.8

abc: 3.2507 3.2507 6.9852
angles: 90.00 90.00 90.00
With the nearest neighbours (Å) after each atom.
Fractional positions:
1 Hf 0.0000 0.0000 0.2293  4 Cu 2.80, 4 Ag 2.98
2 Hf 0.0000 0.0000 0.7707  4 Cu 2.80, 4 Ag 2.98
3 Cu 0.5000 0.5000 0.0000  8 Hf 2.80
4 Ag 0.5000 0.5000 0.5000  8 Hf 2.98, 4 Ag 3.25

=====

A relaxed structure of Hf2CuAg2. Source: the Alexandria database, functional PBE.

Calculated values
SG: No. 127
Calculated total energy in Ry per atom: -0.419
V in Å³/cell: 192.3

abc: 7.1376 7.1376 3.7751
angles: 90.00 90.00 90.00
With the nearest neighbours (Å) after each atom.
Fractional positions:
1 Hf 0.8310 0.3310 0.5000  6 Ag 2.73-2.89
2 Ag 0.6352 0.1352 0.0000  1 Ag 2.73, 6 Hf 2.73-2.89, 2 Cu 2.78
3 Cu 0.5000 0.5000 0.0000  4 Ag 2.78
4 Hf 0.1690 0.6690 0.5000  6 Ag 2.73-2.89
5 Ag 0.1352 0.3648 0.0000  1 Ag 2.73, 6 Hf 2.73-2.89, 2 Cu 2.78
6 Hf 0.6690 0.8310 0.5000  6 Ag 2.73-2.89
7 Cu 0.0000 0.0000 0.0000  4 Ag 2.78
8 Ag 0.8648 0.6352 0.0000  1 Ag 2.73, 6 Hf 2.73-2.89, 2 Cu 2.78
9 Hf 0.3310 0.1690 0.5000  6 Ag 2.73-2.89
10 Ag 0.3648 0.8648 0.0000  1 Ag 2.73, 6 Hf 2.73-2.89, 2 Cu 2.78

=====

A relaxed structure of HfCuAg. Source: the Alexandria database, functional PBE.

Calculated values
SG: No. 107
Calculated total energy in Ry per atom: -0.416
V in Å³/cell: 51.3

abc: 3.4103 3.4103 5.0255
angles: 109.83 109.83 90.00
With the nearest neighbours (Å) after each atom.
Fractional positions:
1 Ag 0.3239 0.3239 0.6478  5 Cu 2.77-3.05, 5 Hf 2.80-2.90
2 Cu 0.6693 0.6693 0.3386  5 Ag 2.77-3.05, 5 Hf 2.80-2.98
3 Hf 0.0068 0.0068 0.0137  5 Ag 2.80-2.90, 5 Cu 2.80-2.98

=====

A relaxed structure of HfCu2Ag. Source: the Alexandria database, functional PBE.

Calculated values
SG: No. 122
Calculated total energy in Ry per atom: -0.356
V in Å³/cell: 139.4

abc: 7.1567 7.1567 5.7456
angles: 51.48 51.48 90.00
With the nearest neighbours (Å) after each atom.
Fractional positions:
1 Cu 0.1329 0.6250 0.2500  2 Ag 2.58, 2 Hf 2.66, 2 Cu 2.72
2 Cu 0.6171 0.1250 0.2500  2 Ag 2.58, 2 Hf 2.66, 2 Cu 2.72
3 Ag 0.2500 0.7500 0.5000  4 Cu 2.58, 2 Hf 2.72
4 Hf 0.7500 0.2500 0.5000  4 Cu 2.66, 2 Ag 2.72
5 Ag 0.5000 0.5000 0.0000  4 Cu 2.58, 2 Hf 2.72
6 Hf 0.0000 0.0000 0.0000  4 Cu 2.66, 2 Ag 2.72
7 Cu 0.3750 0.3829 0.7500  2 Ag 2.58, 2 Hf 2.66, 2 Cu 2.72
8 Cu 0.8750 0.8671 0.7500  2 Ag 2.58, 2 Hf 2.66, 2 Cu 2.72

=====

A relaxed structure of Hf2Cu2Ag. Source: the Alexandria database, functional PBE.

Calculated values
SG: No. 127
Calculated total energy in Ry per atom: -0.462
V in Å³/cell: 172.2

abc: 7.0595 7.0595 3.4547
angles: 90.00 90.00 90.00
With the nearest neighbours (Å) after each atom.
Fractional positions:
1 Hf 0.3315 0.1685 0.5000  6 Cu 2.68-2.72
2 Hf 0.1685 0.6685 0.5000  6 Cu 2.68-2.72
3 Ag 0.5000 0.5000 0.0000  4 Cu 2.79
4 Cu 0.8738 0.6262 0.0000  1 Cu 2.52, 6 Hf 2.68-2.72, 2 Ag 2.79
5 Cu 0.6262 0.1262 0.0000  1 Cu 2.52, 6 Hf 2.68-2.72, 2 Ag 2.79
6 Cu 0.1262 0.3738 0.0000  1 Cu 2.52, 6 Hf 2.68-2.72, 2 Ag 2.79
7 Ag 0.0000 0.0000 0.0000  4 Cu 2.79
8 Hf 0.6685 0.8315 0.5000  6 Cu 2.68-2.72
9 Hf 0.8315 0.3315 0.5000  6 Cu 2.68-2.72
10 Cu 0.3738 0.8738 0.0000  1 Cu 2.52, 6 Hf 2.68-2.72, 2 Ag 2.79

=====

A relaxed structure of HfCu2Ag. Source: the Alexandria database, functional PBE.

Calculated values
SG: No. 123
Calculated total energy in Ry per atom: -0.386
V in Å³/cell: 64.2

abc: 3.2158 3.2158 6.2079
angles: 90.00 90.00 90.00
With the nearest neighbours (Å) after each atom.
Fractional positions:
1 Cu 0.0000 0.0000 0.7565  4 Ag 2.73, 4 Hf 2.78, 1 Cu 3.02
2 Ag 0.5000 0.5000 0.0000  8 Cu 2.73
3 Hf 0.5000 0.5000 0.5000  8 Cu 2.78, 2 Ag 3.10
4 Cu 0.0000 0.0000 0.2434  4 Ag 2.73, 4 Hf 2.78, 1 Cu 3.02

=====

A relaxed structure of Hf2CuAg. Source: the Alexandria database, functional PBE.

Calculated values
SG: No. 225
Calculated total energy in Ry per atom: -0.491
V in Å³/cell: 74.3

abc: 4.7183 4.7183 4.7183
angles: 60.00 60.00 60.00
With the nearest neighbours (Å) after each atom.
Fractional positions:
1 Ag 0.5000 0.5000 0.5000  8 Hf 2.89
2 Hf 0.2500 0.2500 0.2500  4 Cu 2.89, 4 Ag 2.89
3 Hf 0.7500 0.7500 0.7500  4 Cu 2.89, 4 Ag 2.89
4 Cu 0.0000 0.0000 0.0000  8 Hf 2.89

=====

A relaxed structure of Hf2CuAg. Source: the Alexandria database, functional PBE.

Calculated values
SG: No. 123
Calculated total energy in Ry per atom: -0.490
V in Å³/cell: 73.3

abc: 3.9993 4.2823 4.2823
angles: 90.00 90.00 90.00
With the nearest neighbours (Å) after each atom.
Fractional positions:
1 Hf 0.0000 0.5000 0.0000  4 Cu 2.93, 4 Ag 2.93, 4 Hf 3.03
2 Ag 0.5000 0.5000 0.5000  8 Hf 2.93, 4 Cu 3.03
3 Hf 0.0000 0.0000 0.5000  4 Ag 2.93, 4 Cu 2.93, 4 Hf 3.03
4 Cu 0.5000 0.0000 0.0000  8 Hf 2.93, 4 Ag 3.03

=====

A relaxed structure of HfCuAgHg. Source: the Alexandria database, functional PBE.

Calculated values
SG: No. 216
Calculated total energy in Ry per atom: -0.314
V in Å³/cell: 71.3

abc: 4.6544 4.6544 4.6544
angles: 60.00 60.00 60.00
With the nearest neighbours (Å) after each atom.
Fractional positions:
1 Ag 0.7500 0.7500 0.7500  4 Hg 2.85, 4 Hf 2.85
2 Hf 0.5000 0.5000 0.5000  4 Ag 2.85, 4 Cu 2.85
3 Cu 0.2500 0.2500 0.2500  4 Hf 2.85, 4 Hg 2.85
4 Hg 0.0000 0.0000 0.0000  4 Cu 2.85, 4 Ag 2.85

=====

A relaxed structure of HoHfCuAg. Source: the Alexandria database, functional PBE.

Calculated values
SG: No. 216
Calculated total energy in Ry per atom: -0.398
V in Å³/cell: 81.2

abc: 4.8598 4.8598 4.8598
angles: 60.00 60.00 60.00
With the nearest neighbours (Å) after each atom.
Fractional positions:
1 Cu 0.2500 0.2500 0.2500  4 Ho 2.98, 4 Hf 2.98
2 Hf 0.0000 0.0000 0.0000  4 Ag 2.98, 4 Cu 2.98
3 Ho 0.5000 0.5000 0.5000  4 Cu 2.98, 4 Ag 2.98
4 Ag 0.7500 0.7500 0.7500  4 Hf 2.98, 4 Ho 2.98

=====

A relaxed structure of HfInCuAg. Source: the Alexandria database, functional PBE.

Calculated values
SG: No. 216
Calculated total energy in Ry per atom: -0.365
V in Å³/cell: 72.3

abc: 4.6759 4.6759 4.6759
angles: 60.00 60.00 60.00
With the nearest neighbours (Å) after each atom.
Fractional positions:
1 Hf 0.0000 0.0000 0.0000  4 Ag 2.86, 4 Cu 2.86
2 Ag 0.7500 0.7500 0.7500  4 Hf 2.86, 4 In 2.86
3 Cu 0.2500 0.2500 0.2500  4 Hf 2.86, 4 In 2.86
4 In 0.5000 0.5000 0.5000  4 Cu 2.86, 4 Ag 2.86